(1)
This record from Alexandria via LeMat-Bulk describes a relaxed structure of La6As2PtSe3. The functional is PBE.

Values from the calculation:
total energy	-6.34	eV/atom
size of the total moment	0.0	μB per formula unit
formation energy without anion corrections	-1.727	eV/atom
space group	C2/m (12)

a = 9.714 Å, b = 9.714 Å, c = 8.728 Å
α = 103.04°, β = 103.04°, γ = 25.61°
Atoms (fractional coordinates):
La1 0.001 0.001 0.241
La2 0.331 0.331 0.421
La3 0.335 0.335 0.912
La4 0.665 0.665 0.088
La5 0.669 0.669 0.579
La6 0.999 0.999 0.759
As1 0.166 0.166 0.334
As2 0.834 0.834 0.666
Pt1 0.500 0.500 0.000
Se1 0.168 0.168 0.833
Se2 0.500 0.500 0.500
Se3 0.832 0.832 0.167


(2)
This record from Alexandria via LeMat-Bulk describes a relaxed structure of LaAsPtSe2. The functional is PBE.

Values from the calculation:
E above lowest polymorph	0	meV per atom
total energy	-5.13	eV/atom
size of the total moment	0.0	μB per formula unit
formation energy without anion corrections	-0.615	eV/atom
space group	P4/mmm (123)

a = 5.125 Å, b = 5.125 Å, c = 4.755 Å
α = 90.00°, β = 90.00°, γ = 90.00°
Atoms (fractional coordinates):
La1 0.000 0.000 0.000
As1 0.500 0.500 0.000
Pt1 0.500 0.500 0.500
Se1 0.000 0.500 0.500
Se2 0.500 0.000 0.500


Please write out number 1 again, unchanged.
This record from Alexandria via LeMat-Bulk describes a relaxed structure of La6As2PtSe3. The functional is PBE.

Values from the calculation:
total energy	-6.34	eV/atom
size of the total moment	0.0	μB per formula unit
formation energy without anion corrections	-1.727	eV/atom
space group	C2/m (12)

a = 9.714 Å, b = 9.714 Å, c = 8.728 Å
α = 103.04°, β = 103.04°, γ = 25.61°
Atoms (fractional coordinates):
La1 0.001 0.001 0.241
La2 0.331 0.331 0.421
La3 0.335 0.335 0.912
La4 0.665 0.665 0.088
La5 0.669 0.669 0.579
La6 0.999 0.999 0.759
As1 0.166 0.166 0.334
As2 0.834 0.834 0.666
Pt1 0.500 0.500 0.000
Se1 0.168 0.168 0.833
Se2 0.500 0.500 0.500
Se3 0.832 0.832 0.167


Question: Which of these has the highest formation energy without anion corrections?
Answer: LaAsPtSe2


Question: Look up the total energy of the second one.
Answer: -5.13 eV/atom


Question: Which formula does entry 2 have?
Answer: LaAsPtSe2